Sn3IBr5: optimized geometry, GGA-PBE.

- Uncorrected formation energy: -0.70 eV/atom
- Total moment: 0.0 μB per cell
- Theoretical density: 4169 kg/m³

Lattice parameters (Å, degrees): 13.772 10.030 11.354 90.00 116.30 90.00
Space group C2/m (No. 12)
Asymmetric unit:
Sn: 0.000 0.000 0.000 [2 per cell]
Sn: 0.000 0.000 0.500 [2 per cell]
Sn: 0.157 0.500 0.178 [4 per cell]
Sn: 0.164 0.500 0.672 [4 per cell]
I: 0.111 0.000 0.811 [4 per cell]
Br: 0.000 0.300 0.500 [4 per cell]
Br: 0.077 0.500 0.857 [4 per cell]
Br: 0.162 0.200 0.175 [8 per cell]
Br: 0.234 0.000 0.543 [4 per cell]

Li3Ca2ZnSn4: optimized geometry, GGA-PBE.

- Energy of formation from the pure elements: -0.40 eV/atom
- Total moment: 0.0 μB per cell
- Theoretical density: 4561 kg/m³

Lattice parameters (Å, degrees): 4.332 4.332 12.440 90.00 90.00 90.00
Space group P-4m2 (No. 115)
Asymmetric unit:
Li: 0.000 0.000 0.000 [1 per cell]
Li: 0.000 0.500 0.642 [2 per cell]
Ca: 0.000 0.500 0.258 [2 per cell]
Zn: 0.500 0.500 0.000 [1 per cell]
Sn: 0.000 0.000 0.500 [1 per cell]
Sn: 0.000 0.500 0.858 [2 per cell]
Sn: 0.500 0.500 0.500 [1 per cell]

Question: What is the total moment in the second record?
Answer: 0.0 μB per cell

What did the second record say?
Li3Ca2ZnSn4: optimized geometry, GGA-PBE.

- Energy of formation from the pure elements: -0.40 eV/atom
- Total moment: 0.0 μB per cell
- Theoretical density: 4561 kg/m³

Lattice parameters (Å, degrees): 4.332 4.332 12.440 90.00 90.00 90.00
Space group P-4m2 (No. 115)
Asymmetric unit:
Li: 0.000 0.000 0.000 [1 per cell]
Li: 0.000 0.500 0.642 [2 per cell]
Ca: 0.000 0.500 0.258 [2 per cell]
Zn: 0.500 0.500 0.000 [1 per cell]
Sn: 0.000 0.000 0.500 [1 per cell]
Sn: 0.000 0.500 0.858 [2 per cell]
Sn: 0.500 0.500 0.500 [1 per cell]

Question: What is the formula in the first record?
Answer: Sn3IBr5